! BaMnFeO4 (PBE with a Hubbard U, optimized geometry); values from VASP
! **Raw total energy**: -94.07 eV/cell
! **Total magnetic moment**: 18.0 μB per cell
&SYSTEM
  ibrav = 0, nat = 14, ntyp = 4
/
ATOMIC_SPECIES
Ba 137.33 Ba.upf
Mn 54.94 Mn.upf
Fe 55.84 Fe.upf
O 16.00 O.upf
CELL_PARAMETERS angstrom
5.637 0.000 0.087
0.000 5.632 0.000
-2.092 0.000 6.826
ATOMIC_POSITIONS crystal
Ba 0.737 0.750 0.958
Ba 0.263 0.250 0.042
Mn 0.912 0.750 0.502
Mn 0.088 0.250 0.498
Fe 0.309 0.750 0.344
Fe 0.691 0.250 0.656
O 0.989 0.474 0.678
O 0.011 0.974 0.322
O 0.011 0.526 0.322
O 0.989 0.026 0.678
O 0.354 0.750 0.099
O 0.646 0.250 0.901
O 0.568 0.750 0.568
O 0.432 0.250 0.432